The following is a PBE-GGA calculation of crystalline TaTi2Mo6W2 at its relaxed geometry, from the Alexandria database.

abc: 5.4973 5.4973 7.9747
angles: 69.84 69.84 60.00
Last column: nearest neighbours and their distance in Å.
Fractional positions:
1 Mo 0.5610 0.0592 0.3207  5 Mo 2.62-2.76, 2 W 2.75, 1 Ti 2.75, 1 Ta 2.83
2 Mo 0.0592 0.0592 0.3207  5 Mo 2.62-2.76, 2 W 2.75, 1 Ti 2.75, 1 Ta 2.83
3 Mo 0.9408 0.9408 0.6793  5 Mo 2.62-2.76, 2 W 2.75, 1 Ti 2.75, 1 Ta 2.83
4 Mo 0.9408 0.4390 0.6793  5 Mo 2.62-2.76, 2 W 2.75, 1 Ti 2.75, 1 Ta 2.83
5 Mo 0.0592 0.5610 0.3207  5 Mo 2.62-2.76, 2 W 2.75, 1 Ti 2.75, 1 Ta 2.83
6 Mo 0.4390 0.9408 0.6793  5 Mo 2.62-2.76, 2 W 2.75, 1 Ti 2.75, 1 Ta 2.83
7 W 0.4438 0.4438 0.6685  1 W 2.47, 1 Ti 2.53, 6 Mo 2.75
8 W 0.5562 0.5562 0.3315  1 W 2.47, 1 Ti 2.53, 6 Mo 2.75
9 Ti 0.6714 0.6714 0.9858  1 W 2.53, 3 Mo 2.75
10 Ti 0.3286 0.3286 0.0142  1 W 2.53, 3 Mo 2.75
11 Ta 0.0000 0.0000 0.0000  6 Mo 2.83

Results
Density of states at the Fermi level = 10.55 states/eV/f.u.
Total moment = 0.00 μB/atom
DFT formation energy = 0.59 eV/atom